# 1
Crystalline Tb6Rh3Au at its relaxed geometry, computed with PBE.

```
Tb6Rh3Au
1.0
6.6926 0.0000 0.0000
0.0000 8.9754 -0.4447
0.0000 -2.4364 8.6498
Tb Rh Au
12 6 2
Direct
0.7072 0.8841 0.4731
0.1542 0.7211 0.6506
0.7588 0.0271 0.9729
0.1542 0.3494 0.2789
0.6542 0.2789 0.3494
0.1526 0.7459 0.2541
0.6526 0.2541 0.7459
0.2588 0.9729 0.0271
0.2072 0.4731 0.8841
0.2072 0.1159 0.5269
0.7072 0.5269 0.1159
0.6542 0.6506 0.7211
0.4497 0.2684 0.0335
0.9497 0.7316 0.9665
0.8808 0.5879 0.4121
0.4497 0.9665 0.7316
0.9497 0.0335 0.2684
0.3808 0.4121 0.5879
0.0709 0.1596 0.8404
0.5709 0.8404 0.1596
```

## Properties
Polymorph energy (0 for the lowest one)   0.495 eV per formula unit
Crystal system   orthorhombic
Space group   No. 36

***

# 2
Crystalline Tb7Rh2Au2 at its relaxed geometry, computed with PBE.

```
Tb7Rh2Au2
1.0
6.6310 -0.0030 -0.8331
0.0036 7.0706 0.0027
-1.2446 -0.0019 6.5662
Tb Rh Au
7 2 2
Direct
0.0000 0.0000 0.0000
0.5000 0.7412 0.0000
0.5000 0.2588 0.0000
0.5000 0.7475 0.5000
0.0000 0.2588 0.5000
0.5000 0.2525 0.5000
0.0000 0.7412 0.5000
0.7104 0.0000 0.2896
0.2896 0.0000 0.7104
0.8101 0.5000 0.8101
0.1899 0.5000 0.1899
```

## Properties
Crystal system   orthorhombic
Space group   No. 65

***

no.,DOS at the Fermi energy (states/eV per cell),energy relative to the elements (meV per atom)
1,13.4,-632
2,11.3,-512